VASP calculation (PBE-GGA) on a geometry-optimized Cs2NdAuO4 structure.

abc: 14.1262 12.4308 8.0909
angles: 84.17 61.10 34.74
Closest atoms and distances in Å follow each position.
Fractional coordinates of all 16 atoms:
Cs 0.0615 0.0615 0.6885  2 O 2.75
Cs 0.3115 0.3115 0.9385  2 O 2.75
Cs 0.6885 0.6885 0.0615  2 O 2.75
Cs 0.9385 0.9385 0.3115  2 O 2.75
Nd 0.1250 0.1250 0.1250  4 O 2.27
Nd 0.8750 0.8750 0.8750  4 O 2.27
Au 0.3750 0.3750 0.3750  4 O 2.06
Au 0.6250 0.6250 0.6250  4 O 2.06
O 0.0472 0.6991 0.5065  1 Au 2.06, 1 Nd 2.27
O 0.2473 0.5065 0.6991  1 Au 2.06, 1 Nd 2.27
O 0.3009 0.9528 0.7527  1 Au 2.06, 1 Nd 2.27
O 0.4935 0.7527 0.9528  1 Au 2.06, 1 Nd 2.27
O 0.5065 0.2473 0.0472  1 Au 2.06, 1 Nd 2.27
O 0.6991 0.0472 0.2473  1 Au 2.06, 1 Nd 2.27
O 0.7527 0.4935 0.3009  1 Au 2.06, 1 Nd 2.27
O 0.9528 0.3009 0.4935  1 Au 2.06, 1 Nd 2.27

The crystal system is orthorhombic. The formation energy without anion corrections comes out at -1.311 eV/atom. The value obtained for the volume is 35.679 Å³/atom. The value obtained for the density is 3.9 g/cm³.



VASP calculation (PBE-GGA) on a geometry-optimized LaEuDyTm structure.

abc: 5.8135 5.8135 5.8135
angles: 60.00 60.00 60.00
Closest atoms and distances in Å follow each position.
Fractional coordinates of all 4 atoms:
La 0.0000 0.0000 0.0000  4 Tm 3.56, 4 Eu 3.56
Eu 0.2500 0.2500 0.2500  4 La 3.56, 4 Dy 3.56
Dy 0.5000 0.5000 0.5000  4 Tm 3.56, 4 Eu 3.56
Tm 0.7500 0.7500 0.7500  4 La 3.56, 4 Dy 3.56

The crystal system is cubic. Its density of states at the Fermi level is 6.3 states/eV/f.u. The value obtained for the volume is 34.732 Å³/atom. The value obtained for the density is 7.4 g/cm³. As for the energy of formation: 0.1416 eV/atom.



VASP calculation (PBE-GGA) on a geometry-optimized CaDyCl5 structure.

abc: 7.1660 7.1660 10.8693
angles: 112.04 112.04 81.42
Closest atoms and distances in Å follow each position.
Fractional coordinates of all 14 atoms:
Ca 0.1587 0.8413 0.7500  5 Cl 2.66-2.91
Ca 0.8413 0.1587 0.2500  5 Cl 2.66-2.91
Dy 0.5000 0.5000 0.0000  6 Cl 2.62-2.73
Dy 0.5000 0.5000 0.5000  6 Cl 2.62-2.73
Cl 0.2063 0.7660 0.5003  1 Dy 2.62, 1 Ca 2.70
Cl 0.2071 0.2390 0.8613  1 Dy 2.62, 1 Ca 2.66
Cl 0.2340 0.7937 0.9997  1 Dy 2.62, 1 Ca 2.70
Cl 0.2390 0.2071 0.3613  1 Dy 2.62, 1 Ca 2.66
Cl 0.4695 0.5305 0.7500  2 Dy 2.73, 1 Ca 2.91
Cl 0.5305 0.4695 0.2500  2 Dy 2.73, 1 Ca 2.91
Cl 0.7610 0.7929 0.6387  1 Dy 2.62, 1 Ca 2.66
Cl 0.7660 0.2063 0.0003  1 Dy 2.62, 1 Ca 2.70
Cl 0.7929 0.7610 0.1387  1 Dy 2.62, 1 Ca 2.66
Cl 0.7937 0.2340 0.4997  1 Dy 2.62, 1 Ca 2.70

The crystal system is monoclinic. Its density of states at the Fermi level is 0.0 states/eV/f.u. The formation energy without anion corrections comes out at -2.262 eV/atom. The value obtained for the volume is 34.252 Å³/atom. The value obtained for the density is 2.6 g/cm³.



VASP calculation (PBE-GGA) on a geometry-optimized CaScGeI2 structure.

abc: 5.8576 5.8576 5.3865
angles: 90.00 90.00 90.00
Closest atoms and distances in Å follow each position.
Fractional coordinates of all 5 atoms:
Ca 0.0000 0.0000 0.0000  8 I 3.98, 4 Sc 4.14
Sc 0.5000 0.5000 0.0000  2 Ge 2.69
Ge 0.5000 0.5000 0.5000  2 Sc 2.69, 4 I 2.93
I 0.0000 0.5000 0.5000  2 Ge 2.93
I 0.5000 0.0000 0.5000  2 Ge 2.93

The crystal system is tetragonal. Its density of states at the Fermi level is 4.2 states/eV/f.u. The formation energy without anion corrections comes out at 0.030 eV/atom. The value obtained for the volume is 36.964 Å³/atom. The value obtained for the density is 3.7 g/cm³.



VASP calculation (PBE-GGA) on a geometry-optimized YIn2Sn2 structure.

abc: 8.3900 8.3900 8.3900
angles: 150.50 150.50 42.21
Closest atoms and distances in Å follow each position.
Fractional coordinates of all 5 atoms:
Y 0.0000 0.0000 0.0000  8 Sn 3.36
In 0.2500 0.7500 0.5000  4 In 3.02, 4 Sn 3.25
In 0.7500 0.2500 0.5000  4 In 3.02, 4 Sn 3.25
Sn 0.4064 0.4064 0.0000  1 Sn 2.93, 4 In 3.25
Sn 0.5936 0.5936 0.0000  1 Sn 2.93, 4 In 3.25

The crystal system is tetragonal. Its density of states at the Fermi level is 2.6 states/eV/f.u. The value obtained for the volume is 28.572 Å³/atom. The value obtained for the density is 6.5 g/cm³. As for the energy of formation: -0.1351 eV/atom.



VASP calculation (PBE-GGA) on a geometry-optimized Li2NbAs structure.

abc: 10.4989 10.4989 10.4989
angles: 159.79 159.79 28.73
Closest atoms and distances in Å follow each position.
Fractional coordinates of all 8 atoms:
Li 0.1137 0.6250 0.9887  4 Li 2.55-2.66, 2 As 2.84
Li 0.3750 0.3637 0.4887  4 Li 2.55-2.66, 2 As 2.84
Li 0.6363 0.1250 0.0113  4 Li 2.55-2.66, 2 As 2.84
Li 0.8750 0.8863 0.5113  4 Li 2.55-2.66, 2 As 2.84
Nb 0.2500 0.7500 0.5000  4 As 2.60, 4 Li 2.87
Nb 0.5000 0.5000 0.0000  4 As 2.60, 4 Li 2.87
As 0.0000 0.0000 0.0000  4 Nb 2.60, 4 Li 2.84
As 0.7500 0.2500 0.5000  4 Nb 2.60, 4 Li 2.84

The crystal system is tetragonal. Its density of states at the Fermi level is 1.2 states/eV/f.u. The value obtained for the volume is 17.251 Å³/atom. The value obtained for the density is 4.4 g/cm³. As for the energy of formation: -0.0591 eV/atom.



VASP calculation (PBE-GGA) on a geometry-optimized Tb2PmHo2Th2 structure.

abc: 8.7664 8.7664 8.8946
angles: 119.93 119.93 23.03
Closest atoms and distances in Å follow each position.
Fractional coordinates of all 7 atoms:
Tb 0.1518 0.1518 0.4416  2 Ho 3.37-3.42, 4 Tb 3.46-3.50, 3 Th 3.47-3.57
Tb 0.8482 0.8482 0.5584  2 Ho 3.37-3.42, 4 Tb 3.46-3.50, 3 Th 3.47-3.57
Pm 0.5000 0.5000 0.0000  2 Pm 3.50, 4 Ho 3.70, 4 Tb 3.85, 4 Th 3.90
Ho 0.0742 0.0742 0.7278  3 Th 3.35-3.43, 2 Tb 3.37-3.42, 3 Ho 3.50-3.52, 2 Pm 3.70
Ho 0.9258 0.9258 0.2722  3 Th 3.35-3.43, 2 Tb 3.37-3.42, 3 Ho 3.50-3.52, 2 Pm 3.70
Th 0.2313 0.2313 0.1532  3 Ho 3.35-3.43, 3 Tb 3.47-3.57, 4 Th 3.50-3.56
Th 0.7687 0.7687 0.8468  3 Ho 3.35-3.43, 3 Tb 3.47-3.57, 4 Th 3.50-3.56

The crystal system is monoclinic. Its density of states at the Fermi level is 8.4 states/eV/f.u. The value obtained for the volume is 32.880 Å³/atom. The value obtained for the density is 9.1 g/cm³. As for the energy of formation: 0.1226 eV/atom.



VASP calculation (PBE-GGA) on a geometry-optimized SrCuRu structure.

abc: 4.5930 4.5930 4.5930
angles: 60.00 60.00 60.00
Closest atoms and distances in Å follow each position.
Fractional coordinates of all 3 atoms:
Sr 0.0000 0.0000 0.0000  4 Cu 2.81
Cu 0.7500 0.7500 0.7500  4 Ru 2.81, 4 Sr 2.81
Ru 0.5000 0.5000 0.5000  4 Cu 2.81

The crystal system is cubic. Its density of states at the Fermi level is 4.3 states/eV/f.u. The value obtained for the volume is 22.838 Å³/atom. The value obtained for the density is 6.1 g/cm³. As for the energy of formation: 0.8080 eV/atom.



VASP calculation (PBE-GGA) on a geometry-optimized Ac8Ru3BrCl4 structure.

abc: 9.3829 9.3829 9.3829
angles: 56.20 56.20 56.20
Closest atoms and distances in Å follow each position.
Fractional coordinates of all 16 atoms:
Ac 0.2058 0.7500 0.7500  2 Ru 2.93, 1 Br 3.22, 1 Cl 3.28
Ac 0.2360 0.2360 0.2360  3 Ru 3.03
Ac 0.2500 0.2500 0.7942  2 Ru 2.93, 1 Br 3.22, 1 Cl 3.28
Ac 0.2500 0.7942 0.2500  2 Ru 2.93, 1 Br 3.22, 1 Cl 3.28
Ac 0.7500 0.2058 0.7500  2 Ru 2.93, 1 Br 3.22, 1 Cl 3.28
Ac 0.7500 0.7500 0.2058  2 Ru 2.93, 1 Br 3.22, 1 Cl 3.28
Ac 0.7640 0.7640 0.7640  3 Ru 3.03
Ac 0.7942 0.2500 0.2500  2 Ru 2.93, 1 Br 3.22, 1 Cl 3.28
Ru 0.0000 0.0000 0.5000  6 Ac 2.93-3.03
Ru 0.0000 0.5000 0.0000  6 Ac 2.93-3.03
Ru 0.5000 0.0000 0.0000  6 Ac 2.93-3.03
Br 0.5000 0.5000 0.5000  6 Ac 3.22
Cl 0.0000 0.0000 0.0000  6 Ac 3.28
Cl 0.0000 0.5000 0.5000  6 Ac 3.44-3.54
Cl 0.5000 0.0000 0.5000  6 Ac 3.44-3.54
Cl 0.5000 0.5000 0.0000  6 Ac 3.44-3.54

The crystal system is trigonal. Its density of states at the Fermi level is 8.2 states/eV/f.u. The formation energy without anion corrections comes out at -1.018 eV/atom. The value obtained for the volume is 33.301 Å³/atom. The value obtained for the density is 7.3 g/cm³.



VASP calculation (PBE-GGA) on a geometry-optimized As2WBr structure.

abc: 3.1379 4.7842 4.8074
angles: 90.00 90.00 90.00
Closest atoms and distances in Å follow each position.
Fractional coordinates of all 4 atoms:
As 0.0000 0.0000 0.0000  4 Br 2.86, 6 As 2.87-3.14
As 0.5000 0.0000 0.5000  4 W 2.86, 6 As 2.87-3.14
W 0.0000 0.5000 0.5000  4 As 2.86, 4 Br 2.87, 2 W 3.14
Br 0.5000 0.5000 0.0000  4 As 2.86, 4 W 2.87, 2 Br 3.14

The crystal system is orthorhombic. Its density of states at the Fermi level is 3.5 states/eV/f.u. The formation energy without anion corrections comes out at 0.952 eV/atom. The value obtained for the volume is 18.042 Å³/atom. The value obtained for the density is 9.5 g/cm³.



VASP calculation (PBE-GGA) on a geometry-optimized KBaSn3 structure.

abc: 5.8800 5.8800 5.8800
angles: 90.00 90.00 90.00
Closest atoms and distances in Å follow each position.
Fractional coordinates of all 5 atoms:
K 0.0000 0.0000 0.0000  6 Sn 2.94
Ba 0.5000 0.5000 0.5000  12 Sn 4.16
Sn 0.0000 0.0000 0.5000  2 K 2.94
Sn 0.0000 0.5000 0.0000  2 K 2.94
Sn 0.5000 0.0000 0.0000  2 K 2.94

The crystal system is cubic. Its density of states at the Fermi level is 4.4 states/eV/f.u. The value obtained for the volume is 40.658 Å³/atom. The value obtained for the density is 4.4 g/cm³. As for the energy of formation: 0.4259 eV/atom.



VASP calculation (PBE-GGA) on a geometry-optimized InSn2Pd structure.

abc: 6.3458 6.3458 6.3458
angles: 41.37 41.37 41.37
Closest atoms and distances in Å follow each position.
Fractional coordinates of all 4 atoms:
In 0.0000 0.0000 0.0000  1 Pd 2.85, 3 Sn 3.13
Sn 0.2252 0.2252 0.2252  3 Pd 2.77
Sn 0.4348 0.4348 0.4348  3 Pd 2.84, 3 In 3.13
Pd 0.8358 0.8358 0.8358  6 Sn 2.77-2.84, 1 In 2.85

The crystal system is trigonal. Its density of states at the Fermi level is 2.0 states/eV/f.u. The value obtained for the volume is 25.211 Å³/atom. The value obtained for the density is 7.6 g/cm³. As for the energy of formation: -0.1979 eV/atom.



> What is the formula in the fourth record?

CaScGeI2